DFT (PBE-GGA) results for ScMnInSe3 after structural relaxation.

```
ScMnInSe3
1.0
1.986 -7.129 0.000
1.986 7.129 0.000
0.000 0.000 10.598
Sc Mn In Se
2 2 2 6
Direct
0.000 0.000 0.000
0.000 0.000 0.500
0.448 0.552 0.750
0.552 0.448 0.250
0.255 0.745 0.250
0.745 0.255 0.750
0.060 0.940 0.750
0.370 0.630 0.543
0.370 0.630 0.957
0.630 0.370 0.043
0.630 0.370 0.457
0.940 0.060 0.250
```

Computed properties:
Space-group type ... Cmcm
Uncorrected formation energy ... -0.909 eV per atom

DFT (PBE-GGA) results for Th3Sc3MnIn2 after structural relaxation.

```
Th3Sc3MnIn2
1.0
8.549 0.000 0.000
-4.274 7.403 0.000
0.000 0.000 3.618
Th Sc Mn In
3 3 1 2
Direct
0.000 0.756 0.000
0.244 0.244 0.000
0.756 0.000 0.000
0.000 0.397 0.500
0.397 0.000 0.500
0.603 0.603 0.500
0.000 0.000 0.500
0.333 0.667 0.000
0.667 0.333 0.000
```

Computed properties:
Space-group type ... P-62m
ΔE_f ... -1.4 eV per formula unit

DFT (PBE-GGA) results for TmScMnIn after structural relaxation.

```
TmScMnIn
1.0
0.000 3.545 3.545
3.545 0.000 3.545
3.545 3.545 0.000
Tm Sc Mn In
1 1 1 1
Direct
0.000 0.000 0.000
0.500 0.500 0.500
0.750 0.750 0.750
0.250 0.250 0.250
```

Computed properties:
Space-group type ... F-43m
ΔE_f ... -0.4 eV per formula unit

DFT (PBE-GGA) results for MnInSe2 after structural relaxation.

```
MnInSe2
1.0
4.220 0.000 0.000
0.000 3.517 0.000
-1.071 0.000 7.138
Mn In Se
1 1 2
Direct
0.000 0.000 0.000
0.500 0.000 0.500
0.066 0.500 0.772
0.934 0.500 0.228
```

Computed properties:
Space-group type ... P2/m
Uncorrected formation energy ... -0.277 eV per atom

DFT (PBE-GGA) results for MnIn2Se4 after structural relaxation.

```
MnIn2Se4
1.0
2.073 1.197 13.275
-2.073 1.197 13.275
0.000 -2.394 13.275
Mn In Se
1 2 4
Direct
0.000 0.000 0.000
0.233 0.233 0.233
0.462 0.462 0.462
0.099 0.099 0.099
0.351 0.351 0.351
0.527 0.527 0.527
0.935 0.935 0.935
```

Computed properties:
Space-group type ... R3m
Uncorrected formation energy ... -0.453 eV per atom

DFT (PBE-GGA) results for Mn3InSe after structural relaxation.

```
Mn3InSe
1.0
5.107 0.000 0.000
0.000 5.107 0.000
0.000 0.000 5.107
Mn In Se
3 1 1
Direct
0.000 0.000 0.500
0.000 0.500 0.000
0.500 0.000 0.000
0.000 0.000 0.000
0.500 0.500 0.500
```

Computed properties:
Energy above the lowest structure with this stoichiometry ... 649 meV per atom
Space-group type ... Pm-3m
Uncorrected formation energy ... 1.086 eV per atom

DFT (PBE-GGA) results for Mn5InSe8 after structural relaxation.

```
Mn5InSe8
1.0
0.000 5.469 5.469
5.469 0.000 5.469
5.469 5.469 0.000
Mn In Se
5 1 8
Direct
0.000 0.000 0.000
0.373 0.373 0.373
0.373 0.373 0.882
0.373 0.882 0.373
0.882 0.373 0.373
0.750 0.750 0.750
0.133 0.133 0.133
0.133 0.133 0.600
0.133 0.600 0.133
0.167 0.611 0.611
0.600 0.133 0.133
0.611 0.167 0.611
0.611 0.611 0.167
0.611 0.611 0.611
```

Computed properties:
Space-group type ... F-43m
Uncorrected formation energy ... -0.433 eV per atom

DFT (PBE-GGA) results for MnInSe2 after structural relaxation.

```
MnInSe2
1.0
-1.920 1.920 7.247
1.920 -1.920 7.247
1.920 1.920 -7.247
Mn In Se
1 1 2
Direct
0.000 0.000 0.000
0.750 0.250 0.500
0.250 0.750 0.500
0.500 0.500 0.000
```

Computed properties:
Space-group type ... I-4m2
Uncorrected formation energy ... -0.082 eV per atom